Compound: YMgCdAg
Source: Alexandria via LeMat-Bulk
Functional: PBE
Structure: relaxed

Computed properties:
ΔE_f ... -31.04 kJ per mole of atoms
Calculated total energy ... -3.2779 eV per atom
Calculated volume ... 89.4 Å³/f.u.
Spin magnetization ... 0.0 μB per cell

Cell: 5.020 5.020 5.020 Å, 60.00 60.00 60.00°
Fractional positions:
Y1 0.750 0.750 0.750
Mg1 0.250 0.250 0.250
Ag1 0.500 0.500 0.500
Cd1 0.000 0.000 0.000